# 1
DFT (PBE) results for crystalline Dy3Al4Si2 at its relaxed geometry.

Cell lengths 4.232, 5.818, 8.370 Å; angles 103.38, 90.00, 111.33 degrees
Fractional positions:
Dy 0.669 0.339 0.661
Dy 0.000 0.000 0.000
Dy 0.331 0.661 0.339
Al 0.728 0.455 0.065
Al 0.272 0.545 0.935
Al 0.951 0.903 0.620
Al 0.049 0.097 0.380
Si 0.611 0.222 0.279
Si 0.389 0.778 0.721

Properties
As for the space group: No. 12. Its calculated total energy is -4.94 eV per atom. The uncorrected formation energy comes out at -0.54 eV/atom. The calculated volume comes out at 20.7 A^3/atom.

=====

# 2
DFT (PBE) results for crystalline LaNd12Tm5 at its relaxed geometry.

Cell lengths 15.380, 10.898, 5.146 Å; angles 90.00, 90.00, 45.12 degrees
Fractional positions:
La 0.000 0.000 0.000
Nd 0.832 0.000 0.500
Nd 0.168 0.000 0.500
Nd 0.663 0.000 0.000
Nd 0.337 0.000 0.000
Nd 0.334 0.664 0.000
Nd 0.002 0.664 0.000
Nd 0.998 0.336 0.000
Nd 0.666 0.336 0.000
Nd 0.498 0.332 0.500
Nd 0.830 0.668 0.500
Nd 0.170 0.332 0.500
Nd 0.502 0.668 0.500
Tm 0.500 0.000 0.500
Tm 0.169 0.662 0.500
Tm 0.831 0.338 0.500
Tm 0.667 0.666 0.000
Tm 0.333 0.334 0.000

Properties
As for the space group: No. 65. Its calculated total energy is -4.67 eV per atom. The value obtained for the energy relative to the elements is 0.024 eV per atom. The calculated volume comes out at 34.0 A^3/atom.